<w>
This record from Alexandria via LeMat-Bulk describes crystalline LaHgBr3 at its relaxed geometry. The functional is PBE-GGA.

Cell lengths 7.7658, 7.7658, 29.8701 Å; angles 90.00, 90.00, 120.00 degrees
Space group R-3 (No. 148, hexagonal axes)
One atom of each set of equivalent atoms:
1 La 0.0000 0.0000 0.1675
2 Hg 0.0000 0.0000 0.3408
3 Br 0.0025 0.6260 0.5559

## Properties
The calculation puts the density of states at the Fermi level at 0.000 states/eV/f.u.

---

<x>
This record from Alexandria via LeMat-Bulk describes crystalline LaHgBr3 at its relaxed geometry. The functional is PBE-GGA.

Cell lengths 5.896, 5.896, 5.896 Å; angles 90.00, 90.00, 90.00 degrees
Space group Pm-3m (No. 221)
One atom of each set of equivalent atoms:
1 La 0.000 0.000 0.000
2 Hg 0.500 0.500 0.500
3 Br 0.000 0.000 0.500

## Properties
The calculation puts the density of states at the Fermi level at 0.000 states/eV/f.u.

---

<y>
This record from Alexandria via LeMat-Bulk describes crystalline LaHgBr3 at its relaxed geometry. The functional is PBE-GGA.

Cell lengths 5.613, 5.613, 5.613 Å; angles 90.00, 90.00, 90.00 degrees
Space group Pm-3m (No. 221)
One atom of each set of equivalent atoms:
1 La 0.000 0.000 0.000
2 Hg 0.500 0.500 0.500
3 Br 0.000 0.500 0.500

## Properties
The calculation puts the density of states at the Fermi level at 10.317 states/eV/f.u.

---

Referenced to the most stable arrangement, the calculated values in meV per atom are <w> 0; <x> 56; <y> 1095.

---

<w>
This record from Alexandria via LeMat-Bulk describes crystalline LaHgSe2Br at its relaxed geometry. The functional is PBE-GGA.

Cell lengths 5.910, 5.910, 5.858 Å; angles 90.00, 90.00, 90.00 degrees
Space group P4/mmm (No. 123)
One atom of each set of equivalent atoms:
1 La 0.000 0.000 0.000
2 Hg 0.500 0.500 0.500
3 Se 0.000 0.500 0.000
4 Br 0.000 0.000 0.500

## Properties
The calculation puts the density of states at the Fermi level at 6.727 states/eV/f.u.

---

<x>
This record from Alexandria via LeMat-Bulk describes crystalline LaHgSe2Br at its relaxed geometry. The functional is PBE-GGA.

Cell lengths 5.302, 5.302, 5.370 Å; angles 90.00, 90.00, 90.00 degrees
Space group P4/mmm (No. 123)
One atom of each set of equivalent atoms:
1 La 0.000 0.000 0.000
2 Hg 0.500 0.500 0.500
3 Se 0.000 0.500 0.500
4 Br 0.500 0.500 0.000

## Properties
The calculation puts the density of states at the Fermi level at 5.111 states/eV/f.u.

---

Referenced to the most stable arrangement, the calculated values in meV per atom are <w> 0; <x> 138.

---

<w>
This record from Alexandria via LeMat-Bulk describes crystalline LiHgBr3 at its relaxed geometry. The functional is PBE-GGA.

Cell lengths 13.999, 4.079, 11.512 Å; angles 90.00, 92.98, 90.00 degrees
Space group C2/m (No. 12)
One atom of each set of equivalent atoms:
1 Li 0.161 0.000 0.405
2 Hg 0.068 0.500 0.785
3 Br 0.118 0.500 0.261
4 Br 0.137 0.000 0.914
5 Br 0.153 0.500 0.576

## Properties
The calculation puts the density of states at the Fermi level at 0.000 states/eV/f.u.

---

<x>
This record from Alexandria via LeMat-Bulk describes crystalline LiHgBr3 at its relaxed geometry. The functional is PBE-GGA.

Cell lengths 5.577, 5.577, 5.577 Å; angles 90.00, 90.00, 90.00 degrees
Space group Pm-3m (No. 221)
One atom of each set of equivalent atoms:
1 Li 0.000 0.000 0.000
2 Hg 0.500 0.500 0.500
3 Br 0.000 0.500 0.500

## Properties
The calculation puts the density of states at the Fermi level at 0.558 states/eV/f.u.

---

Referenced to the most stable arrangement, the calculated values in meV per atom are <w> 0; <x> 308.

---

<w>
This record from Alexandria via LeMat-Bulk describes crystalline LiHg2Br5 at its relaxed geometry. The functional is PBE-GGA.

Cell lengths 5.578, 14.143, 13.269 Å; angles 90.00, 90.00, 90.00 degrees
Space group Cmcm (No. 63)
One atom of each set of equivalent atoms:
1 Li 0.000 0.237 0.250
2 Hg 0.000 0.122 0.575
3 Br 0.000 0.072 0.122
4 Br 0.000 0.233 0.750
5 Br 0.000 0.334 0.079

---

<x>
This record from Alexandria via LeMat-Bulk describes crystalline LiHg2Br5 at its relaxed geometry. The functional is PBE-GGA.

Cell lengths 6.922, 7.196, 7.718 Å; angles 64.20, 76.64, 63.29 degrees
Space group P1 (No. 1)
One atom of each set of equivalent atoms:
1 Li 0.000 0.000 0.000
2 Hg 0.637 0.647 0.964
3 Hg 0.952 0.508 0.432
4 Br 0.248 0.654 0.314
5 Br 0.322 0.900 0.751
6 Br 0.661 0.906 0.154
7 Br 0.748 0.288 0.676
8 Br 0.988 0.319 0.094

## Properties
The calculation puts the density of states at the Fermi level at 0.000 states/eV/f.u.

---

Referenced to the most stable arrangement, the calculated values in meV per atom are <w> 42; <x> 0.

---

<w>
This record from Alexandria via LeMat-Bulk describes crystalline LiHgBr at its relaxed geometry. The functional is PBE-GGA.

Cell lengths 6.956, 6.956, 6.956 Å; angles 90.00, 90.00, 90.00 degrees
Space group F-43m (No. 216)
One atom of each set of equivalent atoms:
1 Li 0.000 0.000 0.000
2 Hg 0.250 0.250 0.250
3 Br 0.250 0.250 0.750

## Properties
The calculation puts the density of states at the Fermi level at 0.000 states/eV/f.u.

---

<x>
This record from Alexandria via LeMat-Bulk describes crystalline LiHgBr at its relaxed geometry. The functional is PBE-GGA.

Cell lengths 4.1585, 4.1585, 6.6089 Å; angles 90.00, 90.00, 120.00 degrees
Space group P3m1 (No. 156)
One atom of each set of equivalent atoms:
1 Li 0.0000 0.0000 0.0000
2 Hg 0.3333 0.6667 0.5657
3 Br 0.6667 0.3333 0.0751

## Properties
The calculation puts the density of states at the Fermi level at 0.000 states/eV/f.u.

---

Referenced to the most stable arrangement, the calculated values in meV per atom are <w> 184; <x> 0.

---

<w>
This record from Alexandria via LeMat-Bulk describes crystalline MgHgBr2 at its relaxed geometry. The functional is PBE-GGA.

Cell lengths 3.8551, 3.8551, 35.6357 Å; angles 90.00, 90.00, 120.00 degrees
Space group R-3m (No. 166, hexagonal axes)
One atom of each set of equivalent atoms:
1 Mg 0.0000 0.0000 0.0000
2 Hg 0.0000 0.0000 0.5000
3 Br 0.0000 0.0000 0.3759

## Properties
The calculation puts the density of states at the Fermi level at 0.000 states/eV/f.u.

---

<x>
This record from Alexandria via LeMat-Bulk describes crystalline MgHgBr2 at its relaxed geometry. The functional is PBE-GGA.

Cell lengths 3.557, 3.557, 8.500 Å; angles 90.00, 90.00, 90.00 degrees
Space group P4mm (No. 99)
One atom of each set of equivalent atoms:
1 Mg 0.000 0.000 0.000
2 Hg 0.500 0.500 0.767
3 Br 0.000 0.000 0.565
4 Br 0.500 0.500 0.176

## Properties
The calculation puts the density of states at the Fermi level at 0.057 states/eV/f.u.

---

<y>
This record from Alexandria via LeMat-Bulk describes crystalline MgHgBr2 at its relaxed geometry. The functional is PBE-GGA.

Cell lengths 5.741, 3.819, 6.636 Å; angles 90.00, 109.21, 90.00 degrees
Space group Pm (No. 6)
One atom of each set of equivalent atoms:
1 Mg 0.000 0.000 0.000
2 Hg 0.692 0.500 0.162
3 Br 0.024 0.500 0.751
4 Br 0.362 0.000 0.331

## Properties
The calculation puts the density of states at the Fermi level at 0.000 states/eV/f.u.

---

Referenced to the most stable arrangement, the calculated values in meV per atom are <w> 0; <x> 568; <y> 193.